! NpScS3 | the Alexandria database | PBE | relaxed; values from VASP
&SYSTEM
  ibrav = 0, nat = 10, ntyp = 3
/
ATOMIC_SPECIES
Np 237.00 Np.upf
Sc 44.96 Sc.upf
S 32.06 S.upf
CELL_PARAMETERS angstrom
-2.563 5.283 3.905
2.563 -5.283 3.905
2.563 5.283 -3.905
ATOMIC_POSITIONS crystal
Np 0.000 0.000 0.000
Np 0.500 0.000 0.500
Sc 0.302 0.552 0.750
Sc 0.698 0.448 0.250
S 0.084 0.657 0.427
S 0.270 0.343 0.927
S 0.357 0.107 0.250
S 0.643 0.893 0.750
S 0.730 0.657 0.073
S 0.916 0.343 0.573
! Magnetic moment   7.66 μB/cell
! Calculated volume   21.15 Å³ per atom
! Electronic total energy   -77.48 eV/cell
! Energy relative to the elements, uncorrected   -32.7 kcal/mol of atoms
! Fermi-level density of states   8.0 states/eV/f.u.

! NpScS4 | the Alexandria database | PBE | relaxed; values from VASP
&SYSTEM
  ibrav = 0, nat = 12, ntyp = 3
/
ATOMIC_SPECIES
Np 237.00 Np.upf
Sc 44.96 Sc.upf
S 32.06 S.upf
CELL_PARAMETERS angstrom
-4.278 4.278 4.164
4.278 -4.278 4.164
4.278 4.278 -4.164
ATOMIC_POSITIONS crystal
Np 0.375 0.625 0.750
Np 0.625 0.375 0.250
Sc 0.125 0.875 0.250
Sc 0.875 0.125 0.750
S 0.109 0.665 0.444
S 0.278 0.335 0.944
S 0.335 0.278 0.444
S 0.335 0.891 0.056
S 0.665 0.109 0.944
S 0.665 0.722 0.556
S 0.722 0.665 0.056
S 0.891 0.335 0.556
! Magnetic moment   4.00 μB/cell
! Calculated volume   25.41 Å³ per atom
! Electronic total energy   -85.09 eV/cell
! Energy relative to the elements, uncorrected   -26.0 kcal/mol of atoms
! Fermi-level density of states   9.0 states/eV/f.u.

! NpScS2 | the Alexandria database | PBE | relaxed; values from VASP
&SYSTEM
  ibrav = 0, nat = 4, ntyp = 3
/
ATOMIC_SPECIES
Np 237.00 Np.upf
Sc 44.96 Sc.upf
S 32.06 S.upf
CELL_PARAMETERS angstrom
1.897 1.095 6.223
-1.897 1.095 6.223
0.000 -2.190 6.223
ATOMIC_POSITIONS crystal
Np 0.000 0.000 0.000
Sc 0.500 0.500 0.500
S 0.244 0.244 0.244
S 0.756 0.756 0.756
! Magnetic moment   4.29 μB/cell
! Calculated volume   19.39 Å³ per atom
! Electronic total energy   -34.00 eV/cell
! Energy relative to the elements, uncorrected   -37.3 kcal/mol of atoms
! Fermi-level density of states   9.0 states/eV/f.u.

! Np2ScS6 | the Alexandria database | PBE | relaxed; values from VASP
&SYSTEM
  ibrav = 0, nat = 18, ntyp = 3
/
ATOMIC_SPECIES
Np 237.00 Np.upf
Sc 44.96 Sc.upf
S 32.06 S.upf
CELL_PARAMETERS angstrom
6.170 0.000 0.000
0.000 6.170 0.000
0.000 0.000 11.888
ATOMIC_POSITIONS crystal
Np 0.000 0.000 0.169
Np 0.000 0.000 0.831
Np 0.500 0.500 0.331
Np 0.500 0.500 0.669
Sc 0.000 0.000 0.500
Sc 0.500 0.500 0.000
S 0.194 0.194 0.338
S 0.194 0.194 0.662
S 0.196 0.196 0.000
S 0.304 0.696 0.500
S 0.306 0.694 0.162
S 0.306 0.694 0.838
S 0.694 0.306 0.162
S 0.694 0.306 0.838
S 0.696 0.304 0.500
S 0.804 0.804 0.000
S 0.806 0.806 0.338
S 0.806 0.806 0.662
! Magnetic moment   10.00 μB/cell
! Calculated volume   25.14 Å³ per atom
! Electronic total energy   -136.75 eV/cell
! Energy relative to the elements, uncorrected   -29.2 kcal/mol of atoms
! Fermi-level density of states   19.6 states/eV/f.u.

! NpScS4 | the Alexandria database | PBE | relaxed; values from VASP
&SYSTEM
  ibrav = 0, nat = 6, ntyp = 3
/
ATOMIC_SPECIES
Np 237.00 Np.upf
Sc 44.96 Sc.upf
S 32.06 S.upf
CELL_PARAMETERS angstrom
6.424 0.000 0.000
0.000 3.885 0.000
-0.047 0.000 6.522
ATOMIC_POSITIONS crystal
Np 0.000 0.000 0.000
Sc 0.000 0.500 0.500
S 0.213 0.000 0.333
S 0.217 0.500 0.834
S 0.783 0.500 0.166
S 0.787 0.000 0.667
! Magnetic moment   2.00 μB/cell
! Calculated volume   27.13 Å³ per atom
! Electronic total energy   -44.10 eV/cell
! Energy relative to the elements, uncorrected   -32.0 kcal/mol of atoms
! Fermi-level density of states   4.8 states/eV/f.u.

! NpSc2S4 | the Alexandria database | PBE | relaxed; values from VASP
&SYSTEM
  ibrav = 0, nat = 14, ntyp = 3
/
ATOMIC_SPECIES
Np 237.00 Np.upf
Sc 44.96 Sc.upf
S 32.06 S.upf
CELL_PARAMETERS angstrom
1.858 -6.111 0.000
1.858 6.111 0.000
0.000 0.000 12.566
ATOMIC_POSITIONS crystal
Np 0.118 0.882 0.750
Np 0.882 0.118 0.250
Sc 0.368 0.632 0.564
Sc 0.368 0.632 0.936
Sc 0.632 0.368 0.064
Sc 0.632 0.368 0.436
S 0.000 0.000 0.000
S 0.000 0.000 0.500
S 0.270 0.730 0.119
S 0.270 0.730 0.381
S 0.450 0.550 0.750
S 0.550 0.450 0.250
S 0.730 0.270 0.619
S 0.730 0.270 0.881
! Magnetic moment   8.78 μB/cell
! Calculated volume   20.38 Å³ per atom
! Electronic total energy   -108.58 eV/cell
! Energy relative to the elements, uncorrected   -40.1 kcal/mol of atoms
! Fermi-level density of states   12.1 states/eV/f.u.